No. 1
## NiPtBr2 (GGA-PBE)

Data for a geometry-optimized NiPtBr2 structure.

Values from the calculation:
- E (eV per formula unit) = -13.63
- magnetic moment (μB/atom) = 0.000
- SG = I-42d
- DOS(E_F) (states/eV per cell) = 3.60
- offset from the most stable computed form (eV/atom) = 0.444

a = 5.8514 Å, b = 5.8514 Å, c = 6.7863 Å
α = 64.46°, β = 64.46°, γ = 90.00°
Element x y z (fractional)
Ni: 0.5000 0.5000 0.0000
Ni: 0.2500 0.7500 0.5000
Br: 0.5953 0.1250 0.2500
Br: 0.1547 0.6250 0.2500
Br: 0.3750 0.4047 0.7500
Br: 0.8750 0.8453 0.7500
Pt: 0.0000 0.0000 0.0000
Pt: 0.7500 0.2500 0.5000

No. 2
## ZrZnTc2Te (GGA-PBE)

Data for a geometry-optimized ZrZnTc2Te structure.

Values from the calculation:
- E (eV per formula unit) = -27.43
- magnetic moment (μB/atom) = 0.000
- SG = P4/mmm
- DOS(E_F) (states/eV per cell) = 3.66

a = 4.8321 Å, b = 4.7816 Å, c = 4.8321 Å
α = 90.00°, β = 90.00°, γ = 90.00°
Element x y z (fractional)
Zn: 0.0000 0.5000 0.0000
Te: 0.0000 0.0000 0.0000
Tc: 0.0000 0.0000 0.5000
Tc: 0.5000 0.0000 0.0000
Zr: 0.5000 0.5000 0.5000

No. 3
## La2ZnCoI (GGA-PBE)

Data for a geometry-optimized La2ZnCoI structure.

Values from the calculation:
- E (eV per formula unit) = -22.25
- magnetic moment (μB/atom) = 0.000
- SG = P4/mmm
- DOS(E_F) (states/eV per cell) = 4.18

a = 5.3113 Å, b = 5.3113 Å, c = 4.7619 Å
α = 90.00°, β = 90.00°, γ = 90.00°
Element x y z (fractional)
I: 0.5000 0.5000 0.5000
Zn: 0.0000 0.0000 0.5000
Co: 0.0000 0.0000 0.0000
La: 0.0000 0.5000 0.0000
La: 0.5000 0.0000 0.0000

| no. | formation energy without anion corrections (eV/atom) |
| --- | --- |
| 1 | 0.38 |
| 2 | 1.25 |
| 3 | -0.49 |